(1)
Below is SiNi2GePt2 after structural relaxation, with properties calculated at the PBE level.

Magnetic moment = 0.00 μB per formula unit
E = -6.07 eV/atom
Density = 12.5 Mg/m³

```
data_SiNi2GePt2
_space_group_name_H-M_alt 'P 4 m m'
_space_group_IT_number 99
_space_group_name_Hall 'P 4 -2'
_cell_length_a 3.616
_cell_length_b 3.616
_cell_length_c 6.179
_cell_angle_alpha 90.00
_cell_angle_beta 90.00
_cell_angle_gamma 90.00
loop_
_atom_site_label
_atom_site_type_symbol
_atom_site_fract_x
_atom_site_fract_y
_atom_site_fract_z
_atom_site_occupancy
Si1 Si 0.000 0.000 0.000 1
Ni1 Ni 0.000 0.500 0.236 1
Ge1 Ge 0.500 0.500 0.491 1
Pt1 Pt 0.000 0.000 0.615 1
Pt2 Pt 0.500 0.500 0.891 1
```


(2)
Below is DyTm2Si4Pd4 after structural relaxation, with properties calculated at the PBE level.

Magnetic moment = 0.00 μB per formula unit
E = -6.05 eV/atom
Density = 8.9 Mg/m³

```
data_DyTm2Si4Pd4
_space_group_name_H-M_alt 'I m m m'
_space_group_IT_number 71
_space_group_name_Hall '-I 2 2'
_cell_length_a 4.087
_cell_length_b 6.965
_cell_length_c 13.581
_cell_angle_alpha 90.00
_cell_angle_beta 90.00
_cell_angle_gamma 90.00
loop_
_atom_site_label
_atom_site_type_symbol
_atom_site_fract_x
_atom_site_fract_y
_atom_site_fract_z
_atom_site_occupancy
Dy1 Dy 0.000 0.000 0.000 1
Tm1 Tm 0.000 0.500 0.125 1
Si1 Si 0.000 0.000 0.220 1
Si2 Si 0.000 0.180 0.500 1
Pd1 Pd 0.000 0.298 0.325 1
```